(1)
The following is a GGA-PBE calculation of crystalline Nd4Al12Ag at its relaxed geometry, from Alexandria.

Cell lengths 8.8741, 8.8741, 8.8741 Å; angles 90.00, 90.00, 90.00 degrees
Space group Im-3m (No. 229)
Unique sites:
Nd1 0.2500 0.2500 0.2500
Al1 0.0000 0.0000 0.3039
Al2 0.0000 0.2500 0.5000
Ag1 0.0000 0.0000 0.0000

The calculation puts the formation energy at -0.4225 eV per atom.

---

(2)
The following is a GGA-PBE calculation of crystalline Nd3Al3Ag2 at its relaxed geometry, from Alexandria.

Cell lengths 4.6609, 10.8008, 15.4593 Å; angles 90.00, 90.00, 90.00 degrees
Space group Cmcm (No. 63)
Unique sites:
Nd1 0.0000 0.0978 0.1105
Nd2 0.0000 0.3780 0.2500
Al1 0.0000 0.3304 0.7500
Al2 0.0000 0.3899 0.0376
Ag1 0.0000 0.2009 0.5974

The calculation puts the formation energy at -0.3710 eV per atom.

---

(3)
The following is a GGA-PBE calculation of crystalline Nd3Al8Ag3 at its relaxed geometry, from Alexandria.

Cell lengths 4.4702, 9.8228, 13.1066 Å; angles 90.00, 90.00, 90.00 degrees
Space group Immm (No. 71)
Unique sites:
Nd1 0.0000 0.0000 0.0000
Nd2 0.0000 0.0000 0.3000
Al1 0.0000 0.2827 0.1352
Al2 0.0000 0.3652 0.3392
Ag1 0.0000 0.2034 0.5000
Ag2 0.0000 0.5000 0.0000

The calculation puts the formation energy at -0.3967 eV per atom.

---

(4)
The following is a GGA-PBE calculation of crystalline Nd2Al6Ag9 at its relaxed geometry, from Alexandria.

Cell lengths 5.7305, 5.7305, 12.7272 Å; angles 90.00, 90.00, 120.00 degrees
Space group P6/mmm (No. 191)
Unique sites:
Nd1 0.0000 0.0000 0.1690
Al1 0.3333 0.6667 0.1644
Al2 0.3333 0.6667 0.5000
Ag1 0.0000 0.5000 0.0000
Ag2 0.0000 0.5000 0.3328

The calculation puts the formation energy at -0.1071 eV per atom.

---

(5)
The following is a GGA-PBE calculation of crystalline NdAl2Ag4 at its relaxed geometry, from Alexandria.

Cell lengths 7.0504, 7.0504, 5.4509 Å; angles 90.00, 90.00, 90.00 degrees
Space group I4/mmm (No. 139)
Unique sites:
Nd1 0.0000 0.0000 0.0000
Al1 0.0000 0.5000 0.2500
Ag1 0.1972 0.1972 0.5000

The calculation puts the formation energy at -0.2366 eV per atom.

---

(6)
The following is a GGA-PBE calculation of crystalline NdAl12Ag4 at its relaxed geometry, from Alexandria.

Cell lengths 8.9540, 8.9540, 8.9540 Å; angles 90.00, 90.00, 90.00 degrees
Space group Im-3 (No. 204)
Unique sites:
Nd1 0.0000 0.0000 0.0000
Al1 0.0000 0.3516 0.1524
Ag1 0.2500 0.2500 0.2500

The calculation puts the formation energy at 0.1644 eV per atom.

---

(7)
The following is a GGA-PBE calculation of crystalline Nd4Al5Ag2 at its relaxed geometry, from Alexandria.

Cell lengths 7.5246, 3.6011, 9.8297 Å; angles 90.00, 93.38, 90.00 degrees
Space group P2/m (No. 10)
Unique sites:
Nd1 0.1710 0.0000 0.3880
Nd2 0.2790 0.0000 0.9405
Al1 0.2099 0.5000 0.6654
Al2 0.4408 0.5000 0.2145
Al3 0.5000 0.5000 0.5000
Ag1 0.0610 0.5000 0.1407

The calculation puts the formation energy at -0.2775 eV per atom.

---

(8)
The following is a GGA-PBE calculation of crystalline Nd3Al2Ag3 at its relaxed geometry, from Alexandria.

Cell lengths 4.6376, 11.0310, 15.2722 Å; angles 90.00, 90.00, 90.00 degrees
Space group Cmcm (No. 63)
Unique sites:
Nd1 0.0000 0.0917 0.1056
Nd2 0.0000 0.3930 0.2500
Al1 0.0000 0.2022 0.5986
Ag1 0.0000 0.3209 0.7500
Ag2 0.0000 0.3814 0.0405

As for the energy above the lowest structure with this stoichiometry: 0 meV per atom. The calculation puts the formation energy at -0.3238 eV per atom.

---

(9)
The following is a GGA-PBE calculation of crystalline NdAl3Ag at its relaxed geometry, from Alexandria.

Cell lengths 6.1634, 11.0530, 6.0470 Å; angles 90.00, 90.00, 90.00 degrees
Space group Cmcm (No. 63)
Unique sites:
Nd1 0.0000 0.2483 0.2500
Al1 0.0000 0.3481 0.7500
Al2 0.2311 0.5000 0.0000
Ag1 0.0000 0.1208 0.7500

As for the energy above the lowest structure with this stoichiometry: 0 meV per atom. The calculation puts the formation energy at -0.4087 eV per atom.

---

(10)
The following is a GGA-PBE calculation of crystalline Nd8AlAg2 at its relaxed geometry, from Alexandria.

Cell lengths 18.3418, 5.2966, 7.3647 Å; angles 90.00, 109.40, 90.00 degrees
Space group C2/m (No. 12)
Unique sites:
Nd1 0.0259 0.0000 0.2751
Nd2 0.0905 0.5000 0.9601
Nd3 0.1696 0.5000 0.4743
Nd4 0.1918 0.0000 0.8065
Al1 0.0000 0.5000 0.5000
Ag1 0.1808 0.0000 0.2046

The calculation puts the formation energy at -0.1221 eV per atom.

---

(11)
The following is a GGA-PBE calculation of crystalline NdAl4Ag at its relaxed geometry, from Alexandria.

Cell lengths 4.4924, 5.6067, 10.4162 Å; angles 105.60, 102.44, 90.00 degrees
Space group P-1 (No. 2)
Unique sites:
Nd1 0.2316 0.2316 0.4625
Al1 0.0712 0.0704 0.1416
Al2 0.1465 0.6467 0.2920
Al3 0.3760 0.1189 0.7536
Al4 0.3770 0.6333 0.7545
Ag1 0.0000 0.5000 0.0000
Ag2 0.5000 0.0000 0.0000

As for the energy above the lowest structure with this stoichiometry: 94 meV per atom. The calculation puts the formation energy at -0.1606 eV per atom.

---

(12)
The following is a GGA-PBE calculation of crystalline NdAl4Ag at its relaxed geometry, from Alexandria.

Cell lengths 7.8486, 7.8486, 7.8486 Å; angles 90.00, 90.00, 90.00 degrees
Space group F-43m (No. 216)
Unique sites:
Nd1 0.0000 0.0000 0.0000
Al1 0.1258 0.1258 0.6258
Ag1 0.2500 0.2500 0.2500

As for the energy above the lowest structure with this stoichiometry: 106 meV per atom. The calculation puts the formation energy at -0.1481 eV per atom.

---

(13)
The following is a GGA-PBE calculation of crystalline Nd6AlAg5 at its relaxed geometry, from Alexandria.

Cell lengths 5.2989, 7.5494, 8.3810 Å; angles 90.00, 108.33, 90.00 degrees
Space group P2/m (No. 10)
Unique sites:
Nd1 0.0000 0.2476 0.0000
Nd2 0.3343 0.2522 0.6665
Al1 0.5000 0.5000 0.0000
Ag1 0.1576 0.5000 0.3197
Ag2 0.1662 0.0000 0.3354
Ag3 0.5000 0.0000 0.0000

The calculation puts the formation energy at -0.2705 eV per atom.

---

(14)
The following is a GGA-PBE calculation of crystalline NdAl3NiAg at its relaxed geometry, from Alexandria.

Cell lengths 6.0614, 12.5337, 5.9962 Å; angles 90.00, 90.00, 90.00 degrees
Space group Cmcm (No. 63)
Unique sites:
Nd1 0.0000 0.2228 0.2500
Al1 0.0000 0.3672 0.7500
Al2 0.2198 0.0000 0.0000
Ni1 0.0000 0.4339 0.2500
Ag1 0.0000 0.1526 0.7500

The calculation puts the formation energy at -0.3133 eV per atom.

---

(15)
The following is a GGA-PBE calculation of crystalline Nd2AlAgO5 at its relaxed geometry, from Alexandria.

Cell lengths 6.8644, 6.8644, 10.7490 Å; angles 90.00, 90.00, 90.00 degrees
Space group I4/mcm (No. 140)
Unique sites:
Nd1 0.1811 0.3189 0.0000
Al1 0.0000 0.5000 0.2500
Ag1 0.0000 0.0000 0.2500
O1 0.0000 0.0000 0.0000
O2 0.1332 0.3668 0.3626

The raw formation energy is -250.97 kJ/mol of atoms.

---

(16)
The following is a GGA-PBE calculation of crystalline Nd2Al4AgPd3 at its relaxed geometry, from Alexandria.

Cell lengths 4.3038, 4.3038, 10.6907 Å; angles 90.00, 90.00, 90.00 degrees
Space group P-4m2 (No. 115)
Unique sites:
Nd1 0.0000 0.5000 0.2426
Al1 0.0000 0.0000 0.0000
Al2 0.0000 0.5000 0.6351
Al3 0.5000 0.5000 0.0000
Ag1 0.0000 0.0000 0.5000
Pd1 0.0000 0.5000 0.8702
Pd2 0.5000 0.5000 0.5000

The calculation puts the formation energy at -0.7299 eV per atom.

---

(17)
The following is a GGA-PBE calculation of crystalline NdAl3AgPd at its relaxed geometry, from Alexandria.

Cell lengths 6.0306, 13.1878, 6.0008 Å; angles 90.00, 90.00, 90.00 degrees
Space group Cmcm (No. 63)
Unique sites:
Nd1 0.0000 0.2051 0.2500
Al1 0.0000 0.3699 0.7500
Al2 0.2164 0.0000 0.0000
Ag1 0.0000 0.1573 0.7500
Pd1 0.0000 0.4158 0.2500

The calculation puts the formation energy at -0.4072 eV per atom.

---

(18)
The following is a GGA-PBE calculation of crystalline Nd2Al4Ag3Pd at its relaxed geometry, from Alexandria.

Cell lengths 4.3783, 4.3783, 10.7498 Å; angles 90.00, 90.00, 90.00 degrees
Space group P-4m2 (No. 115)
Unique sites:
Nd1 0.0000 0.5000 0.2472
Al1 0.0000 0.0000 0.5000
Al2 0.0000 0.5000 0.8753
Al3 0.5000 0.5000 0.5000
Ag1 0.0000 0.0000 0.0000
Ag2 0.0000 0.5000 0.6365
Pd1 0.5000 0.5000 0.0000

The calculation puts the formation energy at -0.4549 eV per atom.

---

(19)
The following is a GGA-PBE calculation of crystalline Nd2Al3AgPd4 at its relaxed geometry, from Alexandria.

Cell lengths 4.3250, 4.3250, 10.6106 Å; angles 90.00, 90.00, 90.00 degrees
Space group P-4m2 (No. 115)
Unique sites:
Nd1 0.0000 0.5000 0.2483
Al1 0.0000 0.5000 0.8806
Al2 0.5000 0.5000 0.5000
Ag1 0.0000 0.0000 0.5000
Pd1 0.0000 0.0000 0.0000
Pd2 0.0000 0.5000 0.6494
Pd3 0.5000 0.5000 0.0000

The calculation puts the formation energy at -0.7356 eV per atom.

---

(20)
The following is a GGA-PBE calculation of crystalline PmNd2Al2Ag2 at its relaxed geometry, from Alexandria.

Cell lengths 4.7125, 4.7125, 27.4953 Å; angles 90.00, 90.00, 120.00 degrees
Space group R-3m (No. 166, hexagonal axes)
Unique sites:
Pm1 0.0000 0.0000 0.0000
Nd1 0.0000 0.0000 0.1270
Al1 0.0000 0.0000 0.2630
Ag1 0.0000 0.0000 0.3973

The calculation puts the formation energy at -0.2879 eV per atom.